(1)
A geometry-optimized La2ScIr structure, computed with GGA-PBE.

```
La2ScIr
1.0
-0.048 -1.758 -5.935
1.884 -5.779 -1.170
-4.131 3.380 3.134
Ir La Sc
1 2 1
Direct
0.250 0.750 0.500 Ir
0.050 0.050 0.000 La
0.450 0.450 0.000 La
0.750 0.250 0.500 Sc
```

Crystal system: orthorhombic
Energy of formation from the pure elements in eV per atom: -0.33
Space-group type: Immm, No. 71

(2)
A geometry-optimized AlSbNO2 structure, computed with GGA-PBE.

```
AlSbNO2
1.0
3.680 0.000 0.000
0.000 3.680 0.000
0.000 0.000 3.985
Sb Al O N
1 1 2 1
Direct
0.500 0.500 0.500 Sb
0.000 0.000 0.000 Al
0.000 0.500 0.000 O
0.500 0.000 0.000 O
0.000 0.000 0.500 N
```

Crystal system: tetragonal
Raw formation energy in eV/atom: -0.914
Space-group type: P4/mmm, No. 123

What are the size of the total moment values for these records? In order: 0.000; 0.000 μB/cell.